1.
# Sr2CdBPd6, optimized geometry, DFT PBE
# Fermi-level density of states (states/eV per atom): 0.3697
# ΔE_f (meV per atom): -516
# Size of the total moment (μB/f.u.): 0.0
data_Sr2CdBPd6
_cell_length_a 10.243
_cell_length_b 5.917
_cell_length_c 7.492
_cell_angle_alpha 90.00
_cell_angle_beta 117.04
_cell_angle_gamma 90.00
_symmetry_space_group_name_H-M 'C 1 2/m 1'
_symmetry_Int_Tables_number 12
loop_
_symmetry_equiv_pos_as_xyz
'x,y,z'
'-x,-y,-z'
'-x,y,-z'
'x,-y,z'
'x+1/2,y+1/2,z'
'-x+1/2,-y+1/2,-z'
'-x+1/2,y+1/2,-z'
'x+1/2,-y+1/2,z'
loop_
_atom_site_label
_atom_site_type_symbol
_atom_site_fract_x
_atom_site_fract_y
_atom_site_fract_z
Sr1 Sr 0.227 0.000 0.179
Cd1 Cd 0.000 0.500 0.000
B1 B 0.000 0.000 0.500
Pd1 Pd 0.032 0.261 0.334
Pd2 Pd 0.229 0.000 0.668



2.
# Pm4Cd2B, optimized geometry, DFT PBE
# Fermi-level density of states (states/eV per atom): 1.4154
# ΔE_f (meV per atom): -42
# Size of the total moment (μB/f.u.): 0.0
data_Pm4Cd2B
_cell_length_a 5.144
_cell_length_b 5.144
_cell_length_c 15.562
_cell_angle_alpha 90.00
_cell_angle_beta 90.00
_cell_angle_gamma 90.00
_symmetry_space_group_name_H-M 'I 4/m m m'
_symmetry_Int_Tables_number 139
_symmetry_space_group_name_Hall '-I 4 2'
loop_
_atom_site_label
_atom_site_type_symbol
_atom_site_fract_x
_atom_site_fract_y
_atom_site_fract_z
Pm1 Pm 0.000 0.000 0.171
Pm2 Pm 0.000 0.500 0.000
Cd1 Cd 0.000 0.000 0.371
B1 B 0.000 0.000 0.000



3.
# Pm3CdB2Pt9, optimized geometry, DFT PBE
# Fermi-level density of states (states/eV per atom): 0.2224
# ΔE_f (meV per atom): -766
# Size of the total moment (μB/f.u.): 0.0
data_Pm3CdB2Pt9
_cell_length_a 5.8018
_cell_length_b 5.8018
_cell_length_c 9.6196
_cell_angle_alpha 90.00
_cell_angle_beta 90.00
_cell_angle_gamma 120.00
_symmetry_space_group_name_H-M 'P -3 m 1'
_symmetry_Int_Tables_number 164
_symmetry_space_group_name_Hall '-P 3 2"'
loop_
_atom_site_label
_atom_site_type_symbol
_atom_site_fract_x
_atom_site_fract_y
_atom_site_fract_z
Pm1 Pm 0.0000 0.0000 0.0000
Pm2 Pm 0.3333 0.6667 0.6309
Cd1 Cd 0.0000 0.0000 0.5000
B1 B 0.3333 0.6667 0.1448
Pt1 Pt 0.0000 0.5000 0.0000
Pt2 Pt 0.1657 0.3314 0.2747